[1]
# NaEuF2, optimized geometry, DFT PBE
data_NaEuF2
_chemical_formula_sum 'Na1 Eu1 F2'
_cell_length_a 4.6279
_cell_length_b 4.6279
_cell_length_c 3.2018
_cell_angle_alpha 90.00
_cell_angle_beta 90.00
_cell_angle_gamma 90.00
_symmetry_space_group_name_H-M 'P 4/m m m'
_symmetry_Int_Tables_number 123
_symmetry_space_group_name_Hall '-P 4 2'
loop_
_atom_site_label
_atom_site_fract_x
_atom_site_fract_y
_atom_site_fract_z
Na1 0.0000 0.0000 0.0000
Eu1 0.5000 0.5000 0.0000
F1 0.0000 0.5000 0.5000
# D(E_F) in states/eV/cell: 0.985
# Energy relative to the lowest polymorph listed for this composition in meV per atom: 477
# Uncorrected energy in eV/cell: -24.35
# Formation energy from raw total energies in meV/atom: -2253.1

[2]
# NaEuF, optimized geometry, DFT PBE
data_NaEuF
_chemical_formula_sum 'Na2 Eu2 F2'
_cell_length_a 3.5763
_cell_length_b 3.5763
_cell_length_c 14.3645
_cell_angle_alpha 90.00
_cell_angle_beta 90.00
_cell_angle_gamma 90.00
_symmetry_space_group_name_H-M 'I 4 m m'
_symmetry_Int_Tables_number 107
_symmetry_space_group_name_Hall 'I 4 -2'
loop_
_atom_site_label
_atom_site_fract_x
_atom_site_fract_y
_atom_site_fract_z
Na1 0.0000 0.0000 0.0000
Eu1 0.0000 0.0000 0.7305
F1 0.0000 0.0000 0.2377
# D(E_F) in states/eV/cell: 2.806
# Energy relative to the lowest polymorph listed for this composition in meV per atom: 91
# Uncorrected energy in eV/cell: -36.66
# Formation energy from raw total energies in meV/atom: -1621.9

[3]
# NaEu2F, optimized geometry, DFT PBE
data_NaEu2F
_chemical_formula_sum 'Na3 Eu6 F3'
_cell_length_a 3.8711
_cell_length_b 3.8711
_cell_length_c 30.7554
_cell_angle_alpha 90.00
_cell_angle_beta 90.00
_cell_angle_gamma 120.00
_symmetry_space_group_name_H-M 'R -3 m'
_symmetry_Int_Tables_number 166
_symmetry_space_group_name_Hall '-R 3 2"'
loop_
_atom_site_label
_atom_site_fract_x
_atom_site_fract_y
_atom_site_fract_z
Na1 0.0000 0.0000 0.0000
Eu1 0.0000 0.0000 0.1175
F1 0.0000 0.0000 0.5000
# D(E_F) in states/eV/cell: 8.668
# Uncorrected energy in eV/cell: -84.54
# Formation energy from raw total energies in meV/atom: -1110.4

[4]
# NaEuF4, optimized geometry, DFT PBE
data_NaEuF4
_chemical_formula_sum 'Na3 Eu3 F12'
_cell_length_a 6.7982
_cell_length_b 6.8758
_cell_length_c 7.0252
_cell_angle_alpha 66.05
_cell_angle_beta 81.80
_cell_angle_gamma 62.81
_symmetry_space_group_name_H-M 'P 1'
_symmetry_Int_Tables_number 1
loop_
_symmetry_equiv_pos_as_xyz
'x,y,z'
loop_
_atom_site_label
_atom_site_fract_x
_atom_site_fract_y
_atom_site_fract_z
Na1 0.0000 0.0000 0.0000
Na2 0.1181 0.4142 0.5398
Na3 0.7743 0.0577 0.5066
Eu1 0.2821 0.3038 0.0618
Eu2 0.4284 0.7824 0.6194
Eu3 0.6666 0.6688 0.1495
F1 0.0348 0.6171 0.1545
F2 0.0723 0.0356 0.6340
F3 0.2222 0.5668 0.7172
F4 0.2616 0.1221 0.8647
F5 0.3262 0.8974 0.2687
F6 0.4034 0.1679 0.4082
F7 0.4495 0.5714 0.9952
F8 0.6001 0.4494 0.4754
F9 0.6430 0.0583 0.0387
F10 0.6942 0.7937 0.7951
F11 0.7617 0.7272 0.4452
F12 0.9220 0.2997 0.1436
# D(E_F) in states/eV/cell: 41.491
# Uncorrected energy in eV/cell: -115.06
# Formation energy from raw total energies in meV/atom: -3212.4

[5]
# Na2EuF4, optimized geometry, DFT PBE
data_Na2EuF4
_chemical_formula_sum 'Na4 Eu2 F8'
_cell_length_a 4.7062
_cell_length_b 4.7062
_cell_length_c 12.7622
_cell_angle_alpha 90.00
_cell_angle_beta 90.00
_cell_angle_gamma 90.00
_symmetry_space_group_name_H-M 'I 4/m m m'
_symmetry_Int_Tables_number 139
_symmetry_space_group_name_Hall '-I 4 2'
loop_
_atom_site_label
_atom_site_fract_x
_atom_site_fract_y
_atom_site_fract_z
Na1 0.0000 0.0000 0.1508
Eu1 0.0000 0.0000 0.5000
F1 0.0000 0.0000 0.3172
F2 0.0000 0.5000 0.0000
# D(E_F) in states/eV/cell: 28.095
# Uncorrected energy in eV/cell: -82.00
# Formation energy from raw total energies in meV/atom: -2942.8

[6]
# NaEuF, optimized geometry, DFT PBE
data_NaEuF
_chemical_formula_sum 'Na1 Eu1 F1'
_cell_length_a 4.0927
_cell_length_b 4.0927
_cell_length_c 6.8222
_cell_angle_alpha 90.00
_cell_angle_beta 90.00
_cell_angle_gamma 120.00
_symmetry_space_group_name_H-M 'P 3 m 1'
_symmetry_Int_Tables_number 156
loop_
_symmetry_equiv_pos_as_xyz
'x,y,z'
'-y,x-y,z'
'-x+y,-x,z'
'-y,-x,z'
'-x+y,y,z'
'x,x-y,z'
loop_
_atom_site_label
_atom_site_fract_x
_atom_site_fract_y
_atom_site_fract_z
Na1 0.0000 0.0000 0.0000
Eu1 0.6667 0.3333 0.4760
F1 0.3333 0.6667 0.5193
# D(E_F) in states/eV/cell: 1.285
# Energy relative to the lowest polymorph listed for this composition in meV per atom: 0
# Uncorrected energy in eV/cell: -18.60
# Formation energy from raw total energies in meV/atom: -1713.3

[7]
# NaEuF2, optimized geometry, DFT PBE
data_NaEuF2
_chemical_formula_sum 'Na3 Eu3 F6'
_cell_length_a 4.0194
_cell_length_b 4.0194
_cell_length_c 19.7355
_cell_angle_alpha 90.00
_cell_angle_beta 90.00
_cell_angle_gamma 120.00
_symmetry_space_group_name_H-M 'R -3 m'
_symmetry_Int_Tables_number 166
_symmetry_space_group_name_Hall '-R 3 2"'
loop_
_atom_site_label
_atom_site_fract_x
_atom_site_fract_y
_atom_site_fract_z
Na1 0.0000 0.0000 0.0000
Eu1 0.0000 0.0000 0.5000
F1 0.0000 0.0000 0.1214
# D(E_F) in states/eV/cell: 34.117
# Energy relative to the lowest polymorph listed for this composition in meV per atom: 0
# Uncorrected energy in eV/cell: -78.77
# Formation energy from raw total energies in meV/atom: -2730.5

[8]
# Na5Eu4Si4O16F, optimized geometry, DFT PBE
data_Na5Eu4Si4O16F
_chemical_formula_sum 'Na10 Eu8 Si8 O32 F2'
_cell_length_a 11.9482
_cell_length_b 11.9482
_cell_length_c 5.5455
_cell_angle_alpha 90.00
_cell_angle_beta 90.00
_cell_angle_gamma 90.00
_symmetry_space_group_name_H-M 'I -4'
_symmetry_Int_Tables_number 82
loop_
_symmetry_equiv_pos_as_xyz
'x,y,z'
'y,-x,-z'
'-x,-y,z'
'-y,x,-z'
'x+1/2,y+1/2,z+1/2'
'y+1/2,-x+1/2,-z+1/2'
'-x+1/2,-y+1/2,z+1/2'
'-y+1/2,x+1/2,-z+1/2'
loop_
_atom_site_label
_atom_site_fract_x
_atom_site_fract_y
_atom_site_fract_z
Na1 0.0000 0.0000 0.0000
Na2 0.0886 0.3926 0.5164
Eu1 0.1147 0.8178 0.5238
Si1 0.1024 0.2493 0.0121
O1 0.0352 0.2141 0.2598
O2 0.0486 0.1858 0.7774
O3 0.1057 0.3858 0.9749
O4 0.2057 0.7678 0.9355
F1 0.0000 0.0000 0.5000
# D(E_F) in states/eV/cell: 78.049
# Uncorrected energy in eV/cell: -458.84
# Formation energy from raw total energies in meV/atom: -2627.8

[9]
# Nd2EuF, optimized geometry, DFT PBE
data_Nd2EuF
_chemical_formula_sum 'Nd6 Eu3 F3'
_cell_length_a 3.8193
_cell_length_b 3.8193
_cell_length_c 28.7473
_cell_angle_alpha 90.00
_cell_angle_beta 90.00
_cell_angle_gamma 120.00
_symmetry_space_group_name_H-M 'R -3 m'
_symmetry_Int_Tables_number 166
_symmetry_space_group_name_Hall '-R 3 2"'
loop_
_atom_site_label
_atom_site_fract_x
_atom_site_fract_y
_atom_site_fract_z
Nd1 0.0000 0.0000 0.1186
Eu1 0.0000 0.0000 0.0000
F1 0.0000 0.0000 0.5000
# D(E_F) in states/eV/cell: 14.980
# Uncorrected energy in eV/cell: -76.69
# Formation energy from raw total energies in meV/atom: -970.5

[10]
# Eu5Si3O12F, optimized geometry, DFT PBE
data_Eu5Si3O12F
_chemical_formula_sum 'Eu10 Si6 O24 F2'
_cell_length_a 9.7142
_cell_length_b 9.7142
_cell_length_c 7.0930
_cell_angle_alpha 90.00
_cell_angle_beta 90.00
_cell_angle_gamma 120.00
_symmetry_space_group_name_H-M 'P 63/m'
_symmetry_Int_Tables_number 176
_symmetry_space_group_name_Hall '-P 6c'
loop_
_atom_site_label
_atom_site_fract_x
_atom_site_fract_y
_atom_site_fract_z
Eu1 0.0032 0.2530 0.2500
Eu2 0.3333 0.6667 0.0009
Si1 0.0288 0.3973 0.7500
O1 0.0902 0.3402 0.5652
O2 0.1268 0.5938 0.7500
O3 0.1636 0.6756 0.2500
F1 0.0000 0.0000 0.2500
# D(E_F) in states/eV/cell: 148.445
# Uncorrected energy in eV/cell: -386.89
# Formation energy from raw total energies in meV/atom: -3068.3

[11]
# Eu2PF, optimized geometry, DFT PBE
data_Eu2PF
_chemical_formula_sum 'Eu8 P4 F4'
_cell_length_a 7.0335
_cell_length_b 7.0335
_cell_length_c 7.0335
_cell_angle_alpha 90.00
_cell_angle_beta 90.00
_cell_angle_gamma 90.00
_symmetry_space_group_name_H-M 'F m -3 m'
_symmetry_Int_Tables_number 225
_symmetry_space_group_name_Hall '-F 4 2 3'
loop_
_atom_site_label
_atom_site_fract_x
_atom_site_fract_y
_atom_site_fract_z
Eu1 0.2500 0.2500 0.2500
P1 0.0000 0.0000 0.0000
F1 0.0000 0.0000 0.5000
# D(E_F) in states/eV/cell: 72.881
# Energy relative to the lowest polymorph listed for this composition in meV per atom: 165
# Uncorrected energy in eV/cell: -140.99
# Formation energy from raw total energies in meV/atom: -1854.3

[12]
# Eu2PF, optimized geometry, DFT PBE
data_Eu2PF
_chemical_formula_sum 'Eu2 P1 F1'
_cell_length_a 4.9583
_cell_length_b 4.9583
_cell_length_c 3.5315
_cell_angle_alpha 90.00
_cell_angle_beta 90.00
_cell_angle_gamma 90.00
_symmetry_space_group_name_H-M 'P 4/m m m'
_symmetry_Int_Tables_number 123
_symmetry_space_group_name_Hall '-P 4 2'
loop_
_atom_site_label
_atom_site_fract_x
_atom_site_fract_y
_atom_site_fract_z
Eu1 0.0000 0.5000 0.0000
P1 0.0000 0.0000 0.5000
F1 0.5000 0.5000 0.5000
# D(E_F) in states/eV/cell: 9.380
# Energy relative to the lowest polymorph listed for this composition in meV per atom: 279
# Uncorrected energy in eV/cell: -34.79
# Formation energy from raw total energies in meV/atom: -1739.7

[13]
# Eu2PF, optimized geometry, DFT PBE
data_Eu2PF
_chemical_formula_sum 'Eu6 P3 F3'
_cell_length_a 4.1406
_cell_length_b 4.1406
_cell_length_c 18.6121
_cell_angle_alpha 90.00
_cell_angle_beta 90.00
_cell_angle_gamma 120.00
_symmetry_space_group_name_H-M 'R -3 m'
_symmetry_Int_Tables_number 166
_symmetry_space_group_name_Hall '-R 3 2"'
loop_
_atom_site_label
_atom_site_fract_x
_atom_site_fract_y
_atom_site_fract_z
Eu1 0.0000 0.0000 0.2472
P1 0.0000 0.0000 0.0000
F1 0.0000 0.0000 0.5000
# D(E_F) in states/eV/cell: 42.153
# Energy relative to the lowest polymorph listed for this composition in meV per atom: 0
# Uncorrected energy in eV/cell: -107.72
# Formation energy from raw total energies in meV/atom: -2019.0

[14]
# EuPuPF, optimized geometry, DFT PBE
data_EuPuPF
_chemical_formula_sum 'Eu4 Pu4 P4 F4'
_cell_length_a 6.8971
_cell_length_b 6.8971
_cell_length_c 6.8971
_cell_angle_alpha 90.00
_cell_angle_beta 90.00
_cell_angle_gamma 90.00
_symmetry_space_group_name_H-M 'F -4 3 m'
_symmetry_Int_Tables_number 216
_symmetry_space_group_name_Hall 'F -4 2 3'
loop_
_atom_site_label
_atom_site_fract_x
_atom_site_fract_y
_atom_site_fract_z
Eu1 0.0000 0.0000 0.0000
Pu1 0.0000 0.0000 0.5000
P1 0.2500 0.2500 0.2500
F1 0.2500 0.2500 0.7500
# D(E_F) in states/eV/cell: 48.288
# Uncorrected energy in eV/cell: -152.82
# Formation energy from raw total energies in meV/atom: -1579.1

[15]
# Eu2PbF, optimized geometry, DFT PBE
data_Eu2PbF
_chemical_formula_sum 'Eu6 Pb3 F3'
_cell_length_a 3.7895
_cell_length_b 3.7895
_cell_length_c 28.9984
_cell_angle_alpha 90.00
_cell_angle_beta 90.00
_cell_angle_gamma 120.00
_symmetry_space_group_name_H-M 'R -3 m'
_symmetry_Int_Tables_number 166
_symmetry_space_group_name_Hall '-R 3 2"'
loop_
_atom_site_label
_atom_site_fract_x
_atom_site_fract_y
_atom_site_fract_z
Eu1 0.0000 0.0000 0.1123
Pb1 0.0000 0.0000 0.0000
F1 0.0000 0.0000 0.5000
# D(E_F) in states/eV/cell: 10.129
# Energy relative to the lowest polymorph listed for this composition in meV per atom: 133
# Uncorrected energy in eV/cell: -92.62
# Formation energy from raw total energies in meV/atom: -1186.3

[16]
# Eu2PbF, optimized geometry, DFT PBE
data_Eu2PbF
_chemical_formula_sum 'Eu2 Pb1 F1'
_cell_length_a 3.5848
_cell_length_b 3.5848
_cell_length_c 8.1168
_cell_angle_alpha 90.00
_cell_angle_beta 90.00
_cell_angle_gamma 90.00
_symmetry_space_group_name_H-M 'P 4/m m m'
_symmetry_Int_Tables_number 123
_symmetry_space_group_name_Hall '-P 4 2'
loop_
_atom_site_label
_atom_site_fract_x
_atom_site_fract_y
_atom_site_fract_z
Eu1 0.0000 0.0000 0.2240
Pb1 0.5000 0.5000 0.5000
F1 0.5000 0.5000 0.0000
# D(E_F) in states/eV/cell: 2.013
# Energy relative to the lowest polymorph listed for this composition in meV per atom: 0
# Uncorrected energy in eV/cell: -31.40
# Formation energy from raw total energies in meV/atom: -1319.1

[17]
# Eu3PbF, optimized geometry, DFT PBE
data_Eu3PbF
_chemical_formula_sum 'Eu3 Pb1 F1'
_cell_length_a 5.1750
_cell_length_b 5.1750
_cell_length_c 5.1750
_cell_angle_alpha 90.00
_cell_angle_beta 90.00
_cell_angle_gamma 90.00
_symmetry_space_group_name_H-M 'P m -3 m'
_symmetry_Int_Tables_number 221
_symmetry_space_group_name_Hall '-P 4 2 3'
loop_
_atom_site_label
_atom_site_fract_x
_atom_site_fract_y
_atom_site_fract_z
Eu1 0.0000 0.0000 0.5000
Pb1 0.5000 0.5000 0.5000
F1 0.0000 0.0000 0.0000
# D(E_F) in states/eV/cell: 3.297
# Uncorrected energy in eV/cell: -43.02
# Formation energy from raw total energies in meV/atom: -1324.2

[18]
# Eu4Pd2F, optimized geometry, DFT PBE
data_Eu4Pd2F
_chemical_formula_sum 'Eu8 Pd4 F2'
_cell_length_a 4.8776
_cell_length_b 4.8776
_cell_length_c 15.9395
_cell_angle_alpha 90.00
_cell_angle_beta 90.00
_cell_angle_gamma 90.00
_symmetry_space_group_name_H-M 'I 4/m m m'
_symmetry_Int_Tables_number 139
_symmetry_space_group_name_Hall '-I 4 2'
loop_
_atom_site_label
_atom_site_fract_x
_atom_site_fract_y
_atom_site_fract_z
Eu1 0.0000 0.0000 0.1890
Eu2 0.0000 0.5000 0.0000
Pd1 0.0000 0.0000 0.3751
F1 0.0000 0.0000 0.0000
# D(E_F) in states/eV/cell: 75.538
# Uncorrected energy in eV/cell: -122.28
# Formation energy from raw total energies in meV/atom: -1112.2

[19]
# Eu3Pd5F12, optimized geometry, DFT PBE
data_Eu3Pd5F12
_chemical_formula_sum 'Eu24 Pd40 F96'
_cell_length_a 13.8464
_cell_length_b 13.8464
_cell_length_c 13.8464
_cell_angle_alpha 90.00
_cell_angle_beta 90.00
_cell_angle_gamma 90.00
_symmetry_space_group_name_H-M 'I a -3 d'
_symmetry_Int_Tables_number 230
_symmetry_space_group_name_Hall '-I 4bd 2c 3'
loop_
_atom_site_label
_atom_site_fract_x
_atom_site_fract_y
_atom_site_fract_z
Eu1 0.0000 0.2500 0.1250
Pd1 0.0000 0.0000 0.0000
Pd2 0.0000 0.2500 0.3750
F1 0.0122 0.0718 0.6511
# D(E_F) in states/eV/cell: 517.844
# Uncorrected energy in eV/cell: -948.86
# Formation energy from raw total energies in meV/atom: -1968.2

[20]
# Eu2PdF, optimized geometry, DFT PBE
data_Eu2PdF
_chemical_formula_sum 'Eu2 Pd1 F1'
_cell_length_a 3.4729
_cell_length_b 3.4729
_cell_length_c 7.4126
_cell_angle_alpha 90.00
_cell_angle_beta 90.00
_cell_angle_gamma 90.00
_symmetry_space_group_name_H-M 'P 4/m m m'
_symmetry_Int_Tables_number 123
_symmetry_space_group_name_Hall '-P 4 2'
loop_
_atom_site_label
_atom_site_fract_x
_atom_site_fract_y
_atom_site_fract_z
Eu1 0.0000 0.0000 0.2486
Pd1 0.5000 0.5000 0.5000
F1 0.5000 0.5000 0.0000
# D(E_F) in states/eV/cell: 9.594
# Uncorrected energy in eV/cell: -33.38
# Formation energy from raw total energies in meV/atom: -1441.2

Taking the records one at a time from the top gives M_tot values of 1.862, 2.455, 3.927, 0.334, 0.973, 2.453, 1.742, 0.800, 1.838, 0.302, 3.500, 3.519, 3.500, 3.250, 3.844, 3.619, 4.400, 4.114, 1.245, 3.633 μB per atom.